1.
Tb5GaFe2: relaxed, PBE-GGA. Values from VASP.

The structure in Quantum ESPRESSO input format:
```
&SYSTEM
  ibrav = 0, nat = 16, ntyp = 3
/
ATOMIC_SPECIES
Fe 55.84 Fe.upf
Tb 158.93 Tb.upf
Ga 69.72 Ga.upf
CELL_PARAMETERS angstrom
6.692 0.000 -3.159
-1.491 6.523 -3.159
0.021 0.027 8.712
ATOMIC_POSITIONS crystal
Fe 0.105 0.395 0.000
Fe 0.895 0.605 0.000
Tb 0.538 0.687 0.724
Ga 0.250 0.250 0.500
Tb 0.813 0.962 0.276
Fe 0.605 0.105 0.000
Tb 0.313 0.813 0.276
Tb 0.038 0.538 0.724
Ga 0.750 0.750 0.500
Tb 0.962 0.462 0.276
Fe 0.395 0.895 0.000
Tb 0.500 0.500 0.000
Tb 0.687 0.187 0.724
Tb 0.000 0.000 0.000
Tb 0.187 0.038 0.724
Tb 0.462 0.313 0.276
```

Magnetic moment ... 0.18 μB per formula unit
Total energy ... -5.54 eV per atom
Calculated formation energy ... -0.15 eV/atom
Fermi-level density of states ... 12.874 states/eV/cell



2.
ThSbI: relaxed, PBE-GGA. Values from VASP.

The structure in Quantum ESPRESSO input format:
```
&SYSTEM
  ibrav = 0, nat = 3, ntyp = 3
/
ATOMIC_SPECIES
Sb 121.76 Sb.upf
I 126.90 I.upf
Th 232.04 Th.upf
CELL_PARAMETERS angstrom
3.713 0.000 0.000
0.000 5.398 0.000
0.000 -2.699 4.675
ATOMIC_POSITIONS crystal
Sb 0.667 0.667 0.333
I 0.167 0.333 0.667
Th 0.166 0.000 0.000
```

Magnetic moment ... 0.00 μB per formula unit
Polymorph energy (0 for the lowest one) ... 336 meV per atom
Energy relative to the elements, uncorrected ... -0.531 eV per atom
Total energy ... -4.89 eV per atom
Fermi-level density of states ... 0.819 states/eV/cell



3.
La4NdPu3S8: relaxed, PBE-GGA. Values from VASP.

The structure in Quantum ESPRESSO input format:
```
&SYSTEM
  ibrav = 0, nat = 16, ntyp = 4
/
ATOMIC_SPECIES
Pu 244.00 Pu.upf
La 138.91 La.upf
S 32.06 S.upf
Nd 144.24 Nd.upf
CELL_PARAMETERS angstrom
8.125 -0.005 0.003
0.005 8.170 0.028
-4.067 -4.057 5.746
ATOMIC_POSITIONS crystal
Pu 0.500 0.500 0.000
La 0.000 0.000 0.500
La 0.500 0.000 0.500
S 0.259 0.262 0.010
La 0.500 0.000 0.000
S 0.248 0.738 0.990
Pu 0.000 0.500 0.500
S 0.745 0.734 0.489
La 0.000 0.000 0.000
Pu 0.500 0.500 0.500
S 0.248 0.738 0.497
S 0.255 0.266 0.511
S 0.752 0.262 0.503
Nd 0.000 0.500 0.000
S 0.741 0.738 0.990
S 0.752 0.262 0.010
```

Magnetic moment ... 17.12 μB per formula unit
Energy relative to the elements, uncorrected ... -2.000 eV per atom
Total energy ... -8.28 eV per atom
Fermi-level density of states ... 25.703 states/eV/cell



4.
Al2HgPt: relaxed, PBE-GGA. Values from VASP.

The structure in Quantum ESPRESSO input format:
```
&SYSTEM
  ibrav = 0, nat = 4, ntyp = 3
/
ATOMIC_SPECIES
Pt 195.08 Pt.upf
Al 26.98 Al.upf
Hg 200.59 Hg.upf
CELL_PARAMETERS angstrom
4.744 -0.004 -0.007
0.851 4.667 0.007
-2.791 -2.338 3.040
ATOMIC_POSITIONS crystal
Pt 0.750 0.250 0.500
Al 0.500 0.500 0.000
Hg 0.250 0.750 0.500
Al 0.000 0.000 0.000
```

Magnetic moment ... 0.00 μB per formula unit
Total energy ... -3.67 eV per atom
Calculated formation energy ... -0.22 eV/atom
Fermi-level density of states ... 1.203 states/eV/cell



5.
BeSnBi2: relaxed, PBE-GGA. Values from VASP.

The structure in Quantum ESPRESSO input format:
```
&SYSTEM
  ibrav = 0, nat = 4, ntyp = 3
/
ATOMIC_SPECIES
Sn 118.71 Sn.upf
Be 9.01 Be.upf
Bi 208.98 Bi.upf
CELL_PARAMETERS angstrom
-2.773 1.966 -0.003
-1.424 0.926 -2.944
-7.910 -8.218 -0.719
ATOMIC_POSITIONS crystal
Sn 0.500 0.500 0.500
Be 0.000 0.000 0.000
Bi 0.075 0.075 0.776
Bi 0.925 0.925 0.224
```

Magnetic moment ... 0.00 μB per formula unit
Polymorph energy (0 for the lowest one) ... 300 meV per atom
Total energy ... -3.37 eV per atom
Calculated formation energy ... 0.50 eV/atom
Fermi-level density of states ... 1.188 states/eV/cell



6.
CaP2: relaxed, PBE-GGA. Values from VASP.

The structure in Quantum ESPRESSO input format:
```
&SYSTEM
  ibrav = 0, nat = 9, ntyp = 2
/
ATOMIC_SPECIES
P 30.97 P.upf
Ca 40.08 Ca.upf
CELL_PARAMETERS angstrom
-6.321 5.311 -1.291
-1.220 -8.226 -0.821
-0.847 -0.204 3.307
ATOMIC_POSITIONS crystal
P 0.000 0.291 0.000
Ca 0.000 0.000 0.500
P 0.466 0.000 0.500
P 0.291 0.000 0.000
Ca 0.333 0.667 0.000
P 0.709 0.709 0.000
P 0.000 0.466 0.500
Ca 0.667 0.333 0.000
P 0.534 0.534 0.500
```

Magnetic moment ... 0.00 μB per formula unit
Total energy ... -4.87 eV per atom
Calculated formation energy ... -0.59 eV/atom
Fermi-level density of states ... 2.221 states/eV/cell



7.
TmNi2Pb: relaxed, PBE-GGA. Values from VASP.

The structure in Quantum ESPRESSO input format:
```
&SYSTEM
  ibrav = 0, nat = 4, ntyp = 3
/
ATOMIC_SPECIES
Pb 207.20 Pb.upf
Ni 58.69 Ni.upf
Tm 168.93 Tm.upf
CELL_PARAMETERS angstrom
-0.378 1.666 3.133
2.681 -3.038 1.939
3.572 2.560 -0.930
ATOMIC_POSITIONS crystal
Pb 0.500 0.500 0.500
Ni 0.000 0.500 0.000
Ni 0.000 0.000 0.500
Tm 0.500 0.000 0.000
```

Magnetic moment ... 0.00 μB per formula unit
Total energy ... -5.10 eV per atom
Calculated formation energy ... -0.17 eV/atom
Fermi-level density of states ... 3.321 states/eV/cell



8.
LaIn2Ag2: relaxed, PBE-GGA. Values from VASP.

The structure in Quantum ESPRESSO input format:
```
&SYSTEM
  ibrav = 0, nat = 10, ntyp = 3
/
ATOMIC_SPECIES
In 114.82 In.upf
Ag 107.87 Ag.upf
La 138.91 La.upf
CELL_PARAMETERS angstrom
8.638 0.000 0.000
0.000 8.638 0.000
0.000 0.000 3.207
ATOMIC_POSITIONS crystal
In 0.367 0.867 0.000
In 0.133 0.367 0.000
Ag 0.837 0.337 0.500
La 0.500 0.500 0.000
Ag 0.337 0.163 0.500
In 0.633 0.133 0.000
La 0.000 0.000 0.000
Ag 0.163 0.663 0.500
In 0.867 0.633 0.000
Ag 0.663 0.837 0.500
```

Magnetic moment ... 0.38 μB per formula unit
Polymorph energy (0 for the lowest one) ... 157 meV per atom
Total energy ... -3.36 eV per atom
Calculated formation energy ... -0.14 eV/atom
Fermi-level density of states ... 5.483 states/eV/cell



9.
Ba5Si3: relaxed, PBE-GGA. Values from VASP.

The structure in Quantum ESPRESSO input format:
```
&SYSTEM
  ibrav = 0, nat = 16, ntyp = 2
/
ATOMIC_SPECIES
Si 28.09 Si.upf
Ba 137.33 Ba.upf
CELL_PARAMETERS angstrom
9.910 -0.010 0.000
-7.586 6.376 0.000
-1.162 -3.183 9.318
ATOMIC_POSITIONS crystal
Si 0.654 0.846 0.500
Ba 0.289 0.413 0.703
Ba 0.249 0.750 0.500
Ba 0.749 0.250 0.500
Ba 0.710 0.587 0.297
Ba 0.210 0.913 0.123
Ba 0.587 0.290 0.877
Si 0.345 0.154 0.500
Si 0.154 0.654 0.808
Si 0.750 0.750 0.000
Si 0.250 0.250 0.000
Ba 0.413 0.710 0.123
Ba 0.789 0.087 0.877
Si 0.845 0.345 0.192
Ba 0.913 0.790 0.703
Ba 0.087 0.210 0.297
```

Magnetic moment ... 0.00 μB per formula unit
Polymorph energy (0 for the lowest one) ... 105 meV per atom
Energy relative to the elements, uncorrected ... -0.228 eV per atom
Total energy ... -3.46 eV per atom
Fermi-level density of states ... 19.411 states/eV/cell



10.
Pm4Y3Er2: relaxed, PBE-GGA. Values from VASP.

The structure in Quantum ESPRESSO input format:
```
&SYSTEM
  ibrav = 0, nat = 18, ntyp = 3
/
ATOMIC_SPECIES
Pm 145.00 Pm.upf
Y 88.91 Y.upf
Er 167.26 Er.upf
CELL_PARAMETERS angstrom
-0.371 4.834 -3.574
-10.163 -0.399 -1.255
-4.664 6.021 6.857
ATOMIC_POSITIONS crystal
Pm 0.953 0.176 0.952
Y 0.750 0.650 0.350
Y 0.580 0.680 0.982
Pm 0.115 0.616 0.837
Y 0.250 0.350 0.650
Er 0.795 0.291 0.504
Pm 0.453 0.952 0.176
Er 0.205 0.709 0.496
Er 0.295 0.504 0.291
Y 0.420 0.320 0.018
Pm 0.385 0.163 0.384
Y 0.920 0.018 0.320
Pm 0.547 0.048 0.824
Pm 0.615 0.837 0.616
Y 0.080 0.982 0.680
Pm 0.047 0.824 0.048
Er 0.705 0.496 0.709
Pm 0.885 0.384 0.163
```

Magnetic moment ... 0.00 μB per formula unit
Polymorph energy (0 for the lowest one) ... 70 meV per atom
Total energy ... -5.19 eV per atom
Calculated formation energy ... 0.09 eV/atom
Fermi-level density of states ... 25.099 states/eV/cell



11.
FeMo2I: relaxed, PBE-GGA. Values from VASP.

The structure in Quantum ESPRESSO input format:
```
&SYSTEM
  ibrav = 0, nat = 8, ntyp = 3
/
ATOMIC_SPECIES
Fe 55.84 Fe.upf
Mo 95.94 Mo.upf
I 126.90 I.upf
CELL_PARAMETERS angstrom
5.589 0.000 0.000
0.000 5.589 0.000
2.795 2.795 5.830
ATOMIC_POSITIONS crystal
Fe 0.500 0.500 0.000
Mo 0.375 0.447 0.750
Mo 0.553 0.125 0.250
Mo 0.875 0.803 0.750
I 0.750 0.250 0.500
I 0.000 0.000 0.000
Mo 0.197 0.625 0.250
Fe 0.250 0.750 0.500
```

Magnetic moment ... 0.52 μB per formula unit
Polymorph energy (0 for the lowest one) ... 307 meV per atom
Energy relative to the elements, uncorrected ... 1.235 eV per atom
Total energy ... -6.68 eV per atom
Fermi-level density of states ... 7.805 states/eV/cell